(1)
Computed, not measured: Nd8HC3I4 after structural relaxation at the PBE-GGA level of DFT.

a b c (Å): 7.788 8.969 7.799
angles (deg): 115.81 119.95 90.00
Positions (direct):
Nd  0.291  0.322  0.056
C  0.500  0.500  0.500
C  0.500  0.500  0.000
I  0.500  0.000  0.000
Nd  0.275  0.326  0.550
Nd  0.725  0.674  0.450
Nd  0.235  0.678  0.469
I  0.000  0.000  0.500
Nd  0.766  0.322  0.056
H  0.000  0.500  0.000
Nd  0.765  0.322  0.531
Nd  0.234  0.678  0.944
I  0.500  0.000  0.500
C  0.000  0.500  0.500
I  0.000  0.000  0.000
Nd  0.709  0.678  0.944

crystal system	monoclinic
E	-5.35	eV/atom
V	25.5	Å³ per atom
ρ	6.91	g cm⁻³
DOS at the Fermi energy	8.2	states/eV/cell
space group	C2/m, No. 12

(2)
Computed, not measured: Nd8HC3I3 after structural relaxation at the PBE-GGA level of DFT.

a b c (Å): 7.740 7.743 8.851
angles (deg): 115.99 90.00 119.99
Positions (direct):
H  0.000  0.000  0.500
I  0.000  0.000  0.000
C  0.500  0.000  0.500
Nd  0.703  0.944  0.685
Nd  0.274  0.548  0.322
Nd  0.241  0.944  0.685
C  0.500  0.500  0.500
I  0.000  0.500  0.000
Nd  0.297  0.056  0.315
I  0.500  0.500  0.000
Nd  0.242  0.484  0.686
C  0.000  0.500  0.500
Nd  0.759  0.056  0.315
Nd  0.726  0.452  0.678
Nd  0.758  0.516  0.314

crystal system	trigonal
E	-5.44	eV/atom
V	26.4	Å³ per atom
ρ	6.59	g cm⁻³
DOS at the Fermi energy	11.0	states/eV/cell
space group	R-3m, No. 166

(3)
Computed, not measured: SnPH6CI3 after structural relaxation at the PBE-GGA level of DFT.

a b c (Å): 9.116 6.486 9.257
angles (deg): 88.98 90.46 90.73
Positions (direct):
I  0.011  0.519  0.508
C  0.967  0.503  0.090
H  0.638  0.629  0.578
P  0.401  0.507  0.505
H  0.080  0.329  0.859
I  0.271  0.011  0.742
I  0.733  0.993  0.277
I  0.759  0.992  0.788
Sn  0.990  0.987  0.478
Sn  0.498  0.976  0.985
H  0.906  0.362  0.122
H  0.338  0.513  0.643
H  0.076  0.681  0.853
H  0.074  0.507  0.147
I  0.467  0.521  0.000
H  0.342  0.334  0.431
H  0.645  0.487  0.413
I  0.223  0.013  0.254
P  0.998  0.502  0.900
H  0.359  0.687  0.427
H  0.624  0.351  0.583
C  0.596  0.492  0.521
H  0.864  0.496  0.824
H  0.904  0.639  0.117

crystal system	triclinic
E	-3.89	eV/atom
distance to the lowest polymorph of the same formula	5	kJ/mol of formula units
V	22.8	Å³ per atom
ρ	3.33	g cm⁻³
space group	P1, No. 1

(4)
Computed, not measured: SnPH6CI3 after structural relaxation at the PBE-GGA level of DFT.

a b c (Å): 6.544 6.553 6.523
angles (deg): 95.82 91.13 88.72
Positions (direct):
Sn  0.481  0.486  0.514
H  0.181  0.771  0.079
P  0.005  0.902  0.100
C  0.007  0.089  0.917
H  0.003  0.999  0.302
I  0.502  0.034  0.453
I  0.023  0.529  0.495
H  0.869  0.188  0.936
H  0.008  0.008  0.762
H  0.144  0.182  0.943
I  0.507  0.504  0.977
H  0.830  0.778  0.070

crystal system	triclinic
E	-3.89	eV/atom
distance to the lowest polymorph of the same formula	4	kJ/mol of formula units
V	23.2	Å³ per atom
ρ	3.27	g cm⁻³
space group	P1, No. 1